# 1
A plane-wave DFT calculation with GGA-PBE was carried out for Mg4In5Sn2 after structural relaxation.

Computed properties:
The density of states at the Fermi level is 0.374 states/eV per atom.

Cell: 8.070 3.183 10.694 Å, 90.00 95.41 90.00°
Element x y z (fractional)
Mg1 0.099 0.000 0.145
Mg2 0.237 0.000 0.650
Mg3 0.763 0.000 0.350
Mg4 0.901 0.000 0.855
In1 0.118 0.500 0.393
In2 0.431 0.500 0.201
In3 0.500 0.500 0.500
In4 0.569 0.500 0.799
In5 0.882 0.500 0.607
Sn1 0.231 0.500 0.913
Sn2 0.769 0.500 0.087

---

# 2
A plane-wave DFT calculation with GGA-PBE was carried out for Mg2In3Sn4 after structural relaxation.

Computed properties:
The density of states at the Fermi level is 0.461 states/eV per atom.

Cell: 5.735 5.735 10.139 Å, 103.60 103.60 46.31°
Element x y z (fractional)
Mg1 0.162 0.162 0.219
Mg2 0.838 0.838 0.781
In1 0.168 0.168 0.553
In2 0.500 0.500 0.000
In3 0.832 0.832 0.447
Sn1 0.169 0.169 0.887
Sn2 0.493 0.493 0.326
Sn3 0.507 0.507 0.674
Sn4 0.831 0.831 0.113

---

# 3
A plane-wave DFT calculation with GGA-PBE was carried out for Mg4InSn after structural relaxation.

Computed properties:
The value obtained for the excess energy over the best structure of this formula in the dataset is 0.000 eV/f.u. The density of states at the Fermi level is 0.298 states/eV per atom.

Cell: 6.775 6.773 6.914 Å, 90.00 90.16 90.00°
Element x y z (fractional)
Mg1 0.250 0.249 0.248
Mg2 0.250 0.251 0.752
Mg3 0.250 0.749 0.752
Mg4 0.250 0.751 0.248
Mg5 0.750 0.249 0.752
Mg6 0.750 0.251 0.248
Mg7 0.750 0.749 0.248
Mg8 0.750 0.751 0.752
In1 0.000 0.500 0.000
In2 0.500 0.000 0.000
Sn1 0.000 0.000 0.500
Sn2 0.500 0.500 0.500

---

# 4
A plane-wave DFT calculation with GGA-PBE was carried out for Mg3In6Sn after structural relaxation.

Computed properties:
The value obtained for the excess energy over the best structure of this formula in the dataset is 0.000 eV/f.u. The density of states at the Fermi level is 0.436 states/eV per atom.

Cell: 9.242 9.242 6.273 Å, 90.00 90.00 104.18°
Element x y z (fractional)
Mg1 0.001 0.999 0.500
Mg2 0.213 0.512 0.500
Mg3 0.488 0.787 0.500
Mg4 0.512 0.213 0.000
Mg5 0.787 0.488 0.000
Mg6 0.999 0.001 0.000
In1 0.112 0.486 0.005
In2 0.189 0.811 0.762
In3 0.223 0.233 0.244
In4 0.233 0.223 0.744
In5 0.462 0.538 0.873
In6 0.486 0.112 0.505
In7 0.514 0.888 0.005
In8 0.538 0.462 0.373
In9 0.767 0.777 0.244
In10 0.777 0.767 0.744
In11 0.811 0.189 0.262
In12 0.888 0.514 0.505
Sn1 0.194 0.806 0.263
Sn2 0.806 0.194 0.763

---

# 5
A plane-wave DFT calculation with GGA-PBE was carried out for Mg4InSn after structural relaxation.

Computed properties:
The value obtained for the excess energy over the best structure of this formula in the dataset is 0.770 eV/f.u. The density of states at the Fermi level is 0.807 states/eV per atom.

Cell: 5.884 5.884 5.884 Å, 60.00 60.00 60.00°
Element x y z (fractional)
Mg1 0.125 0.125 0.125
Mg2 0.125 0.125 0.625
Mg3 0.125 0.625 0.125
Mg4 0.625 0.125 0.125
In1 0.750 0.750 0.750
Sn1 0.500 0.500 0.500

---

# 6
A plane-wave DFT calculation with GGA-PBE was carried out for MgInSn2 after structural relaxation.

Computed properties:
The value obtained for the excess energy over the best structure of this formula in the dataset is 0.190 eV/f.u. The density of states at the Fermi level is 0.360 states/eV per atom.

Cell: 4.156 11.227 9.110 Å, 90.00 90.00 90.00°
Element x y z (fractional)
Mg1 0.000 0.220 0.250
Mg2 0.000 0.780 0.750
Mg3 0.500 0.280 0.750
Mg4 0.500 0.720 0.250
In1 0.000 0.057 0.750
In2 0.000 0.943 0.250
In3 0.500 0.443 0.250
In4 0.500 0.557 0.750
Sn1 0.000 0.364 0.529
Sn2 0.000 0.364 0.971
Sn3 0.000 0.636 0.029
Sn4 0.000 0.636 0.471
Sn5 0.500 0.136 0.029
Sn6 0.500 0.136 0.471
Sn7 0.500 0.864 0.529
Sn8 0.500 0.864 0.971

---

# 7
A plane-wave DFT calculation with GGA-PBE was carried out for MgIn4Sn4 after structural relaxation.

Computed properties:
The density of states at the Fermi level is 0.363 states/eV per atom.

Cell: 7.532 7.532 7.532 Å, 95.65 95.65 143.43°
Element x y z (fractional)
Mg1 0.000 0.000 0.000
In1 0.000 0.328 0.328
In2 0.000 0.672 0.672
In3 0.328 0.000 0.328
In4 0.672 0.000 0.672
Sn1 0.338 0.338 0.677
Sn2 0.338 0.662 0.000
Sn3 0.662 0.338 0.000
Sn4 0.662 0.662 0.323

---

# 8
A plane-wave DFT calculation with GGA-PBE was carried out for MgIn12Sn7 after structural relaxation.

Computed properties:
The density of states at the Fermi level is 0.434 states/eV per atom.

Cell: 10.498 10.498 10.498 Å, 116.21 116.21 116.21°
Element x y z (fractional)
Mg1 0.000 0.000 0.000
In1 0.033 0.389 0.389
In2 0.098 0.500 0.902
In3 0.098 0.902 0.500
In4 0.389 0.033 0.389
In5 0.389 0.389 0.033
In6 0.500 0.098 0.902
In7 0.500 0.902 0.098
In8 0.611 0.611 0.967
In9 0.611 0.967 0.611
In10 0.902 0.098 0.500
In11 0.902 0.500 0.098
In12 0.967 0.611 0.611
Sn1 0.152 0.152 0.413
Sn2 0.152 0.413 0.152
Sn3 0.413 0.152 0.152
Sn4 0.500 0.500 0.500
Sn5 0.587 0.848 0.848
Sn6 0.848 0.587 0.848
Sn7 0.848 0.848 0.587

---

no.,E_form (eV per atom)
1,-0.064
2,-0.020
3,-0.094
4,0.006
5,0.035
6,-0.006
7,0.008
8,0.069